# 1
A plane-wave DFT calculation with PBE was carried out for crystalline Ac3Sn5Au6 at its relaxed geometry.

Values from the calculation:
The formation energy is -640 meV per atom. The calculation puts the total energy at -4.3549 eV/atom.

Unit cell a=4.8266 b=14.2076 c=10.3745 alpha=90.00 beta=90.00 gamma=90.00
Closest atoms and distances in Å follow each position.
Space group Pmmn (No. 59, origin choice 2)
Inequivalent atoms, fractional coordinates:
Ac: 0.2500 0.0645 0.2465 x4  7 Au 3.38-3.58, 6 Sn 3.48-3.59
Ac: 0.2500 0.7500 0.2377 x2  8 Au 3.43-3.78, 6 Sn 3.51-3.53
Sn: 0.2500 0.0898 0.8792 x4  5 Au 2.75-2.87
Sn: 0.2500 0.6155 0.5219 x4  5 Au 2.84-3.08
Sn: 0.2500 0.7500 0.7902 x2  4 Au 2.94-2.97
Au: 0.2500 0.0799 0.6145 x4  4 Sn 2.75-2.94, 1 Au 2.90
Au: 0.2500 0.2500 0.0428 x2  4 Sn 2.84-2.97
Au: 0.2500 0.2500 0.4596 x2  2 Au 2.90, 4 Sn 3.08
Au: 0.2500 0.5974 0.9819 x4  4 Sn 2.81-2.94

# 2
A plane-wave DFT calculation with PBE was carried out for crystalline AcSn2Au10 at its relaxed geometry.

Values from the calculation:
The formation energy is -219 meV per atom. The calculation puts the total energy at -3.6715 eV/atom.

Unit cell a=6.5288 b=12.6067 c=13.7128 alpha=90.00 beta=90.00 gamma=90.00
Closest atoms and distances in Å follow each position.
Space group Fmmm (No. 69)
Inequivalent atoms, fractional coordinates:
Ac: 0.0000 0.0000 0.0000 x4  8 Au 3.17-3.55
Sn: 0.2500 0.0000 0.2500 x8  8 Au 2.91-2.94
Au: 0.0000 0.1100 0.3939 x16  5 Au 2.77-2.91, 2 Sn 2.91
Au: 0.0000 0.1728 0.1684 x16  5 Au 2.87-3.19, 2 Sn 2.94, 1 Ac 3.17
Au: 0.2500 0.2500 0.0000 x8  8 Au 2.81-2.99

# 3
A plane-wave DFT calculation with PBE was carried out for crystalline AcSnAu at its relaxed geometry.

Values from the calculation:
The formation energy is -526 meV per atom. The calculation puts the total energy at -4.3222 eV/atom. The calculation puts the excess energy over the best structure of this formula in the dataset at 294.6 meV per atom.

Unit cell a=3.7781 b=3.7781 c=11.9259 alpha=90.00 beta=90.00 gamma=90.00
Closest atoms and distances in Å follow each position.
Space group I4mm (No. 107)
Inequivalent atoms, fractional coordinates:
Ac: 0.0000 0.0000 0.0000 x2  4 Au 3.27, 5 Sn 3.52-3.62
Sn: 0.0000 0.0000 0.7052 x2  4 Au 3.13
Au: 0.0000 0.0000 0.3412 x2  4 Sn 3.13, 4 Ac 3.27

# 4
A plane-wave DFT calculation with PBE was carried out for crystalline Ac5SnAu2 at its relaxed geometry.

Values from the calculation:
The formation energy is -596 meV per atom. The calculation puts the total energy at -4.4834 eV/atom.

Unit cell a=8.8082 b=8.8082 c=14.4675 alpha=90.00 beta=90.00 gamma=90.00
Closest atoms and distances in Å follow each position.
Space group I4/mcm (No. 140)
Inequivalent atoms, fractional coordinates:
Ac: 0.0000 0.0000 0.0000 x4  4 Au 3.42, 2 Sn 3.62
Ac: 0.1574 0.3426 0.1427 x16  3 Au 3.30-3.31, 2 Sn 3.67
Sn: 0.0000 0.0000 0.2500 x4  10 Ac 3.62-3.67
Au: 0.1359 0.3641 0.5000 x8  8 Ac 3.30-3.42, 1 Au 3.39

Number 3 is which compound?
AcSnAu